Entry 1:
Computed, not measured: a geometry-optimized Na2YTl structure at the PBE-GGA level of DFT.

Output
Formation energy from the elements ... 0.09 eV/atom

```
8
Lattice="-2.243 2.243 12.398 2.243 -2.243 12.398 2.243 2.243 -12.398" Properties=species:S:1:pos:R:3 pbc="T T T"
Na 3.365 1.018 -3.099
Na 1.018 1.122 3.099
Na -1.122 1.225 9.298
Na 1.225 1.122 15.497
Y 2.243 0.000 6.199
Y 0.000 0.000 12.398
Tl 0.000 0.000 0.000
Tl 0.000 2.243 6.199
```

Entry 2:
Computed, not measured: a geometry-optimized NaY2Tl structure at the PBE-GGA level of DFT.

Output
Formation energy from the elements ... 0.08 eV/atom
Relative energy among the computed polymorphs ... 171 meV/atom

```
4
Lattice="1.780 1.028 12.048 -1.780 1.028 12.048 0.000 -2.056 12.048" Properties=species:S:1:pos:R:3 pbc="T T T"
Na 0.000 0.000 0.000
Y 0.000 0.000 3.498
Y 0.000 0.000 32.647
Tl 0.000 0.000 18.072
```

Entry 3:
Computed, not measured: a geometry-optimized NaYTl structure at the PBE-GGA level of DFT.

Output
Formation energy from the elements ... -0.07 eV/atom
Relative energy among the computed polymorphs ... 103 meV/atom

```
3
Lattice="5.293 0.000 0.000 -2.646 4.584 0.000 0.000 0.000 3.425" Properties=species:S:1:pos:R:3 pbc="T T T"
Na 0.000 0.000 0.000
Y 0.000 3.056 1.687
Tl 2.646 1.528 3.374
```